Record 1
Computed, not measured: ScCu after structural relaxation at the GGA-PBE level of DFT.

Structure (CIF):
```
data_ScCu
_chemical_formula_sum 'Sc8 Cu8'
_space_group_name_H-M_alt 'P 4/m'
_space_group_IT_number 83
_cell_length_a 11.1294
_cell_length_b 11.1294
_cell_length_c 3.2830
_cell_angle_alpha 90.00
_cell_angle_beta 90.00
_cell_angle_gamma 90.00
loop_
_space_group_symop_operation_xyz
'x,y,z'
'-x,-y,-z'
'-y,x,z'
'y,-x,-z'
'-x,-y,z'
'x,y,-z'
'y,-x,z'
'-y,x,-z'
loop_
_atom_site_label
_atom_site_fract_x
_atom_site_fract_y
_atom_site_fract_z
Sc1 0.0440 0.6374 0.0000
Sc2 0.2033 0.4413 0.5000
Cu1 0.1693 0.2501 0.0000
Cu2 0.2285 0.6753 0.5000
```

Results
Final energy ... -4.921 eV per atom

***

Record 2
Computed, not measured: ZnTcAg after structural relaxation at the GGA-PBE level of DFT.

Structure (CIF):
```
data_ZnTcAg
_chemical_formula_sum 'Zn2 Tc2 Ag2'
_space_group_name_H-M_alt 'I 4 m m'
_space_group_IT_number 107
_space_group_name_Hall 'I 4 -2'
_cell_length_a 2.6876
_cell_length_b 2.6876
_cell_length_c 12.7360
_cell_angle_alpha 90.00
_cell_angle_beta 90.00
_cell_angle_gamma 90.00
loop_
_atom_site_label
_atom_site_fract_x
_atom_site_fract_y
_atom_site_fract_z
Zn1 0.0000 0.0000 0.0000
Tc1 0.0000 0.0000 0.3442
Ag1 0.0000 0.0000 0.6675
```

Results
Relative energy among the computed polymorphs ... 0.01 eV per formula unit

***

Record 3
Computed, not measured: K3Pt after structural relaxation at the GGA-PBE level of DFT.

Structure (CIF):
```
data_K3Pt
_chemical_formula_sum 'K3 Pt1'
_space_group_name_H-M_alt 'P -4 m 2'
_space_group_IT_number 115
_cell_length_a 4.5398
_cell_length_b 4.5398
_cell_length_c 8.8796
_cell_angle_alpha 90.00
_cell_angle_beta 90.00
_cell_angle_gamma 90.00
loop_
_space_group_symop_operation_xyz
'x,y,z'
'y,-x,-z'
'-x,-y,z'
'-y,x,-z'
'-x,y,z'
'-y,-x,-z'
'x,-y,z'
'y,x,-z'
loop_
_atom_site_label
_atom_site_fract_x
_atom_site_fract_y
_atom_site_fract_z
K1 0.0000 0.0000 0.0000
K2 0.0000 0.5000 0.7061
Pt1 0.5000 0.5000 0.0000
```

Results
Final energy ... -2.197 eV per atom

***

Record 4
Computed, not measured: Ce2MgGe after structural relaxation at the GGA-PBE level of DFT.

Structure (CIF):
```
data_Ce2MgGe
_chemical_formula_sum 'Ce6 Mg3 Ge3'
_space_group_name_H-M_alt 'R -3 m'
_space_group_IT_number 166
_space_group_name_Hall '-R 3 2"'
_cell_length_a 3.1030
_cell_length_b 3.1030
_cell_length_c 35.1623
_cell_angle_alpha 90.00
_cell_angle_beta 90.00
_cell_angle_gamma 120.00
loop_
_atom_site_label
_atom_site_fract_x
_atom_site_fract_y
_atom_site_fract_z
Ce1 0.0000 0.0000 0.0937
Mg1 0.0000 0.0000 0.0000
Ge1 0.0000 0.0000 0.5000
```

Results
Final energy ... -4.528 eV per atom

***

Record 5
Computed, not measured: Cd2InW after structural relaxation at the GGA-PBE level of DFT.

Structure (CIF):
```
data_Cd2InW
_chemical_formula_sum 'Cd2 In1 W1'
_space_group_name_H-M_alt 'P 4/m m m'
_space_group_IT_number 123
_space_group_name_Hall '-P 4 2'
_cell_length_a 4.2086
_cell_length_b 4.2086
_cell_length_c 4.4272
_cell_angle_alpha 90.00
_cell_angle_beta 90.00
_cell_angle_gamma 90.00
loop_
_atom_site_label
_atom_site_fract_x
_atom_site_fract_y
_atom_site_fract_z
Cd1 0.0000 0.5000 0.0000
In1 0.0000 0.0000 0.5000
W1 0.5000 0.5000 0.5000
```

Results
Final energy ... -3.779 eV per atom

***

Record 6
Computed, not measured: OsPtN2 after structural relaxation at the GGA-PBE level of DFT.

Structure (CIF):
```
data_OsPtN2
_chemical_formula_sum 'Os4 Pt4 N8'
_space_group_name_H-M_alt 'F m -3 m'
_space_group_IT_number 225
_space_group_name_Hall '-F 4 2 3'
_cell_length_a 5.5316
_cell_length_b 5.5316
_cell_length_c 5.5316
_cell_angle_alpha 90.00
_cell_angle_beta 90.00
_cell_angle_gamma 90.00
loop_
_atom_site_label
_atom_site_fract_x
_atom_site_fract_y
_atom_site_fract_z
Os1 0.0000 0.0000 0.0000
Pt1 0.0000 0.0000 0.5000
N1 0.2500 0.2500 0.2500
```

Results
Relative energy among the computed polymorphs ... 5.02 eV per formula unit
ΔE_f (raw) ... 1.745 eV per atom

***

Record 7
Computed, not measured: AlCdPb2 after structural relaxation at the GGA-PBE level of DFT.

Structure (CIF):
```
data_AlCdPb2
_chemical_formula_sum 'Al2 Cd2 Pb4'
_space_group_name_H-M_alt 'C 1 m 1'
_space_group_IT_number 8
_cell_length_a 11.7619
_cell_length_b 3.3400
_cell_length_c 5.7120
_cell_angle_alpha 90.00
_cell_angle_beta 110.15
_cell_angle_gamma 90.00
loop_
_space_group_symop_operation_xyz
'x,y,z'
'x,-y,z'
'x+1/2,y+1/2,z'
'x+1/2,-y+1/2,z'
loop_
_atom_site_label
_atom_site_fract_x
_atom_site_fract_y
_atom_site_fract_z
Al1 0.0000 0.0000 0.0000
Cd1 0.2056 0.5000 0.3016
Pb1 0.2562 0.0000 0.8353
Pb2 0.4681 0.0000 0.4934
```

Results
Final energy ... -2.882 eV per atom

***

Record 8
Computed, not measured: Tb2HoPu3Se6 after structural relaxation at the GGA-PBE level of DFT.

Structure (CIF):
```
data_Tb2HoPu3Se6
_chemical_formula_sum 'Tb4 Ho2 Pu6 Se12'
_space_group_name_H-M_alt 'C 1 2/m 1'
_space_group_IT_number 12
_cell_length_a 17.9225
_cell_length_b 4.1041
_cell_length_c 8.2275
_cell_angle_alpha 90.00
_cell_angle_beta 102.98
_cell_angle_gamma 90.00
loop_
_space_group_symop_operation_xyz
'x,y,z'
'-x,-y,-z'
'-x,y,-z'
'x,-y,z'
'x+1/2,y+1/2,z'
'-x+1/2,-y+1/2,-z'
'-x+1/2,y+1/2,-z'
'x+1/2,-y+1/2,z'
loop_
_atom_site_label
_atom_site_fract_x
_atom_site_fract_y
_atom_site_fract_z
Tb1 0.1665 0.0000 0.3360
Ho1 0.0000 0.5000 0.0000
Pu1 0.0000 0.5000 0.5000
Pu2 0.1672 0.0000 0.8348
Se1 0.0008 0.0000 0.2457
Se2 0.1651 0.5000 0.0854
Se3 0.1678 0.5000 0.5831
```

Results
ΔE_f (raw) ... -1.669 eV per atom

***

Record 9
Computed, not measured: PPbAuCl2 after structural relaxation at the GGA-PBE level of DFT.

Structure (CIF):
```
data_PPbAuCl2
_chemical_formula_sum 'P1 Pb1 Au1 Cl2'
_space_group_name_H-M_alt 'P 4/m m m'
_space_group_IT_number 123
_space_group_name_Hall '-P 4 2'
_cell_length_a 5.2012
_cell_length_b 5.2012
_cell_length_c 4.9721
_cell_angle_alpha 90.00
_cell_angle_beta 90.00
_cell_angle_gamma 90.00
loop_
_atom_site_label
_atom_site_fract_x
_atom_site_fract_y
_atom_site_fract_z
P1 0.0000 0.0000 0.0000
Pb1 0.5000 0.5000 0.0000
Au1 0.0000 0.0000 0.5000
Cl1 0.0000 0.5000 0.5000
```

Results
Relative energy among the computed polymorphs ... 0.00 eV per formula unit
ΔE_f (raw) ... 0.131 eV per atom

***

Record 10
Computed, not measured: Sm8AsS6 after structural relaxation at the GGA-PBE level of DFT.

Structure (CIF):
```
data_Sm8AsS6
_chemical_formula_sum 'Sm8 As1 S6'
_space_group_name_H-M_alt 'P -3'
_space_group_IT_number 147
_cell_length_a 10.2430
_cell_length_b 10.2430
_cell_length_c 4.0968
_cell_angle_alpha 90.00
_cell_angle_beta 90.00
_cell_angle_gamma 120.00
loop_
_space_group_symop_operation_xyz
'x,y,z'
'-x,-y,-z'
'-y,x-y,z'
'y,-x+y,-z'
'-x+y,-x,z'
'x-y,x,-z'
loop_
_atom_site_label
_atom_site_fract_x
_atom_site_fract_y
_atom_site_fract_z
Sm1 0.0322 0.3268 0.2423
Sm2 0.3333 0.6667 0.7525
As1 0.0000 0.0000 0.0000
S1 0.1335 0.6520 0.2530
```

Results
ΔE_f (raw) ... -1.564 eV per atom

***

Record 11
Computed, not measured: MgUFeIr after structural relaxation at the GGA-PBE level of DFT.

Structure (CIF):
```
data_MgUFeIr
_chemical_formula_sum 'Mg4 U4 Fe4 Ir4'
_space_group_name_H-M_alt 'F -4 3 m'
_space_group_IT_number 216
_space_group_name_Hall 'F -4 2 3'
_cell_length_a 6.5175
_cell_length_b 6.5175
_cell_length_c 6.5175
_cell_angle_alpha 90.00
_cell_angle_beta 90.00
_cell_angle_gamma 90.00
loop_
_atom_site_label
_atom_site_fract_x
_atom_site_fract_y
_atom_site_fract_z
Mg1 0.0000 0.0000 0.0000
U1 0.0000 0.0000 0.5000
Fe1 0.2500 0.2500 0.7500
Ir1 0.2500 0.2500 0.2500
```

Results
Final energy ... -7.698 eV per atom

***

Record 12
Computed, not measured: Gd2B6Os after structural relaxation at the GGA-PBE level of DFT.

Structure (CIF):
```
data_Gd2B6Os
_chemical_formula_sum 'Gd8 B24 Os4'
_space_group_name_H-M_alt 'P b a m'
_space_group_IT_number 55
_cell_length_a 9.2396
_cell_length_b 11.5936
_cell_length_c 3.6875
_cell_angle_alpha 90.00
_cell_angle_beta 90.00
_cell_angle_gamma 90.00
loop_
_space_group_symop_operation_xyz
'x,y,z'
'-x,-y,-z'
'-x,-y,z'
'x,y,-z'
'x+1/2,-y+1/2,-z'
'-x+1/2,y+1/2,z'
'-x+1/2,y+1/2,-z'
'x+1/2,-y+1/2,z'
loop_
_atom_site_label
_atom_site_fract_x
_atom_site_fract_y
_atom_site_fract_z
Gd1 0.0555 0.1260 0.0000
Gd2 0.1766 0.4130 0.0000
B1 0.0150 0.2867 0.5000
B2 0.0537 0.5677 0.5000
B3 0.1144 0.9682 0.5000
B4 0.1328 0.8135 0.5000
B5 0.2099 0.2316 0.5000
B6 0.2466 0.5798 0.5000
Os1 0.1379 0.6784 0.0000
```

Results
Final energy ... -9.432 eV per atom

***

Record 13
Computed, not measured: HfAsW after structural relaxation at the GGA-PBE level of DFT.

Structure (CIF):
```
data_HfAsW
_chemical_formula_sum 'Hf2 As2 W2'
_space_group_name_H-M_alt 'P m m 2'
_space_group_IT_number 25
_cell_length_a 3.4673
_cell_length_b 3.4766
_cell_length_c 9.1738
_cell_angle_alpha 90.00
_cell_angle_beta 90.00
_cell_angle_gamma 90.00
loop_
_space_group_symop_operation_xyz
'x,y,z'
'-x,-y,z'
'-x,y,z'
'x,-y,z'
loop_
_atom_site_label
_atom_site_fract_x
_atom_site_fract_y
_atom_site_fract_z
Hf1 0.0000 0.0000 0.0000
Hf2 0.0000 0.5000 0.3467
As1 0.5000 0.0000 0.2277
As2 0.5000 0.5000 0.8851
W1 0.0000 0.5000 0.6725
W2 0.5000 0.0000 0.5298
```

Results
Final energy ... -9.520 eV per atom

***

Record 14
Computed, not measured: BaLiPr2Tl4 after structural relaxation at the GGA-PBE level of DFT.

Structure (CIF):
```
data_BaLiPr2Tl4
_chemical_formula_sum 'Ba3 Li3 Pr6 Tl12'
_space_group_name_H-M_alt 'R -3 m'
_space_group_IT_number 166
_space_group_name_Hall '-R 3 2"'
_cell_length_a 5.3709
_cell_length_b 5.3709
_cell_length_c 31.2489
_cell_angle_alpha 90.00
_cell_angle_beta 90.00
_cell_angle_gamma 120.00
loop_
_atom_site_label
_atom_site_fract_x
_atom_site_fract_y
_atom_site_fract_z
Ba1 0.0000 0.0000 0.0000
Li1 0.0000 0.0000 0.5000
Pr1 0.0000 0.0000 0.2310
Tl1 0.0000 0.0000 0.1267
Tl2 0.0000 0.0000 0.3973
```

Results
Final energy ... -3.165 eV per atom

***

Record 15
Computed, not measured: K4Nd after structural relaxation at the GGA-PBE level of DFT.

Structure (CIF):
```
data_K4Nd
_chemical_formula_sum 'K4 Nd1'
_space_group_name_H-M_alt 'P m -3 m'
_space_group_IT_number 221
_space_group_name_Hall '-P 4 2 3'
_cell_length_a 7.3312
_cell_length_b 7.3312
_cell_length_c 7.3312
_cell_angle_alpha 90.00
_cell_angle_beta 90.00
_cell_angle_gamma 90.00
loop_
_atom_site_label
_atom_site_fract_x
_atom_site_fract_y
_atom_site_fract_z
K1 0.0000 0.0000 0.0000
K2 0.0000 0.5000 0.5000
Nd1 0.5000 0.5000 0.5000
```

Results
Final energy ... -1.138 eV per atom

***

Record 16
Computed, not measured: Mn2TlSi after structural relaxation at the GGA-PBE level of DFT.

Structure (CIF):
```
data_Mn2TlSi
_chemical_formula_sum 'Mn4 Tl2 Si2'
_space_group_name_H-M_alt 'C m m m'
_space_group_IT_number 65
_space_group_name_Hall '-C 2 2'
_cell_length_a 5.7739
_cell_length_b 7.6147
_cell_length_c 2.8900
_cell_angle_alpha 90.00
_cell_angle_beta 90.00
_cell_angle_gamma 90.00
loop_
_atom_site_label
_atom_site_fract_x
_atom_site_fract_y
_atom_site_fract_z
Mn1 0.2500 0.2500 0.0000
Tl1 0.0000 0.0000 0.5000
Si1 0.0000 0.5000 0.5000
```

Results
ΔE_f (raw) ... 0.448 eV per atom

***

Record 17
Computed, not measured: SrAlTl after structural relaxation at the GGA-PBE level of DFT.

Structure (CIF):
```
data_SrAlTl
_chemical_formula_sum 'Sr4 Al4 Tl4'
_space_group_name_H-M_alt 'I m a 2'
_space_group_IT_number 46
_cell_length_a 4.9915
_cell_length_b 8.5086
_cell_length_c 8.0615
_cell_angle_alpha 90.00
_cell_angle_beta 90.00
_cell_angle_gamma 90.00
loop_
_space_group_symop_operation_xyz
'x,y,z'
'-x,-y,z'
'-x+1/2,y,z'
'x+1/2,-y,z'
'x+1/2,y+1/2,z+1/2'
'-x+1/2,-y+1/2,z+1/2'
'-x,y+1/2,z+1/2'
'x,-y+1/2,z+1/2'
loop_
_atom_site_label
_atom_site_fract_x
_atom_site_fract_y
_atom_site_fract_z
Sr1 0.2500 0.2023 0.0000
Al1 0.2500 0.5733 0.1834
Tl1 0.2500 0.6055 0.8068
```

Results
Final energy ... -2.855 eV per atom

***

Record 18
Computed, not measured: Cs3Pm2DyO6 after structural relaxation at the GGA-PBE level of DFT.

Structure (CIF):
```
data_Cs3Pm2DyO6
_chemical_formula_sum 'Cs6 Pm4 Dy2 O12'
_space_group_name_H-M_alt 'C 1 2/m 1'
_space_group_IT_number 12
_cell_length_a 6.2983
_cell_length_b 10.9093
_cell_length_c 7.2357
_cell_angle_alpha 90.00
_cell_angle_beta 106.86
_cell_angle_gamma 90.00
loop_
_space_group_symop_operation_xyz
'x,y,z'
'-x,-y,-z'
'-x,y,-z'
'x,-y,z'
'x+1/2,y+1/2,z'
'-x+1/2,-y+1/2,-z'
'-x+1/2,y+1/2,-z'
'x+1/2,-y+1/2,z'
loop_
_atom_site_label
_atom_site_fract_x
_atom_site_fract_y
_atom_site_fract_z
Cs1 0.0000 0.0000 0.0000
Cs2 0.0000 0.3339 0.0000
Pm1 0.0000 0.1667 0.5000
Dy1 0.0000 0.5000 0.5000
O1 0.2183 0.3373 0.6668
O2 0.2303 0.0000 0.6673
```

Results
ΔE_f (raw) ... -2.563 eV per atom

***

Record 19
Computed, not measured: NpPtSe after structural relaxation at the GGA-PBE level of DFT.

Structure (CIF):
```
data_NpPtSe
_chemical_formula_sum 'Np4 Pt4 Se4'
_space_group_name_H-M_alt 'C m m m'
_space_group_IT_number 65
_space_group_name_Hall '-C 2 2'
_cell_length_a 5.2276
_cell_length_b 7.0551
_cell_length_c 7.5487
_cell_angle_alpha 90.00
_cell_angle_beta 90.00
_cell_angle_gamma 90.00
loop_
_atom_site_label
_atom_site_fract_x
_atom_site_fract_y
_atom_site_fract_z
Np1 0.0000 0.0000 0.2335
Pt1 0.0000 0.3090 0.0000
Se1 0.2500 0.2500 0.5000
```

Results
ΔE_f (raw) ... -0.554 eV per atom

***

Record 20
Computed, not measured: Eu2TmMg after structural relaxation at the GGA-PBE level of DFT.

Structure (CIF):
```
data_Eu2TmMg
_chemical_formula_sum 'Eu6 Tm3 Mg3'
_space_group_name_H-M_alt 'R -3 m'
_space_group_IT_number 166
_space_group_name_Hall '-R 3 2"'
_cell_length_a 3.5660
_cell_length_b 3.5660
_cell_length_c 38.2013
_cell_angle_alpha 90.00
_cell_angle_beta 90.00
_cell_angle_gamma 120.00
loop_
_atom_site_label
_atom_site_fract_x
_atom_site_fract_y
_atom_site_fract_z
Eu1 0.0000 0.0000 0.0882
Tm1 0.0000 0.0000 0.5000
Mg1 0.0000 0.0000 0.0000
```

Results
Relative energy among the computed polymorphs ... 0.72 eV per formula unit

***

For the records above, the corresponding Fermi-level density of states values read 1.026; 0.450; 0.381; 2.099; 0.692; 0.863; 0.364; 2.318; 0.773; 0.475; 1.543; 0.100; 0.706; 0.783; 2.677; 0.801; 0.406; 0.000; 3.354; 0.917 states/eV per atom.